(1)
! MoW4Au | Alexandria via LeMat-Bulk | PBE | optimized geometry; values from VASP
! - Space-group type: F-43m (216)
! - Total magnetic moment: 0.000 μB per formula unit
! - Crystal system: cubic
! - ΔE_f: 0.455 eV per atom
&SYSTEM
  ibrav = 0, nat = 6, ntyp = 3
/
ATOMIC_SPECIES
Mo 95.94 Mo.upf
W 183.84 W.upf
Au 196.97 Au.upf
CELL_PARAMETERS angstrom
-1.781 -4.136 -2.704
-5.063 -0.257 -1.374
-1.386 0.554 -5.036
ATOMIC_POSITIONS crystal
Mo 0.000 0.000 0.000
W 0.625 0.625 0.126
W 0.625 0.126 0.625
W 0.625 0.625 0.625
W 0.126 0.625 0.625
Au 0.250 0.250 0.250

(2)
! Sr2GeAs2 | Alexandria via LeMat-Bulk | PBE | optimized geometry; values from VASP
! - Space-group type: P4/mbm (127)
! - Total magnetic moment: 0.000 μB per formula unit
! - Polymorph energy (0 for the lowest one): 12.5 meV/atom
! - Crystal system: tetragonal
! - ΔE_f: -0.727 eV per atom
&SYSTEM
  ibrav = 0, nat = 10, ntyp = 3
/
ATOMIC_SPECIES
Sr 87.62 Sr.upf
As 74.92 As.upf
Ge 72.64 Ge.upf
CELL_PARAMETERS angstrom
7.620 0.000 0.000
0.000 7.620 0.000
0.000 0.000 4.572
ATOMIC_POSITIONS crystal
Sr 0.181 0.681 0.500
Sr 0.681 0.819 0.500
Sr 0.819 0.319 0.500
Sr 0.319 0.181 0.500
As 0.380 0.880 0.000
As 0.880 0.620 0.000
As 0.620 0.120 0.000
As 0.120 0.380 0.000
Ge 0.000 0.000 0.000
Ge 0.500 0.500 0.000

(3)
! As2PbI8 | Alexandria via LeMat-Bulk | PBE | optimized geometry; values from VASP
! - Space-group type: P-1 (2)
! - Total magnetic moment: 0.000 μB per formula unit
! - Energy relative to the elements, uncorrected: -0.280 eV per atom
! - Crystal system: triclinic
&SYSTEM
  ibrav = 0, nat = 11, ntyp = 3
/
ATOMIC_SPECIES
As 74.92 As.upf
Pb 207.20 Pb.upf
I 126.90 I.upf
CELL_PARAMETERS angstrom
4.451 -0.063 -0.504
-0.572 10.515 -0.910
1.455 -0.243 10.736
ATOMIC_POSITIONS crystal
As 0.852 0.739 0.269
As 0.148 0.261 0.731
Pb 0.500 0.000 0.000
I 0.441 0.556 0.203
I 0.498 0.056 0.704
I 0.114 0.284 0.495
I 0.969 0.779 0.954
I 0.886 0.716 0.505
I 0.502 0.944 0.296
I 0.559 0.444 0.797
I 0.031 0.221 0.046

(4)
! Ca3Mg11 | Alexandria via LeMat-Bulk | PBE | optimized geometry; values from VASP
! - Space-group type: Immm (71)
! - Total magnetic moment: 0.000 μB per formula unit
! - Crystal system: orthorhombic
! - ΔE_f: -0.009 eV per atom
&SYSTEM
  ibrav = 0, nat = 14, ntyp = 2
/
ATOMIC_SPECIES
Ca 40.08 Ca.upf
Mg 24.30 Mg.upf
CELL_PARAMETERS angstrom
4.832 0.000 1.354
1.539 8.402 3.804
-0.013 -0.291 9.346
ATOMIC_POSITIONS crystal
Ca 0.000 0.000 0.000
Ca 0.296 0.704 0.704
Ca 0.704 0.296 0.296
Mg 0.667 0.691 0.976
Mg 0.869 0.415 0.846
Mg 0.667 0.976 0.691
Mg 0.500 0.318 0.682
Mg 0.131 0.154 0.585
Mg 0.000 0.500 0.500
Mg 0.869 0.846 0.415
Mg 0.500 0.682 0.318
Mg 0.333 0.024 0.309
Mg 0.131 0.585 0.154
Mg 0.333 0.309 0.024

(5)
! Er7Tl4C | Alexandria via LeMat-Bulk | PBE | optimized geometry; values from VASP
! - Space-group type: C2/m (12)
! - Total magnetic moment: 0.000 μB per formula unit
! - Crystal system: monoclinic
! - ΔE_f: -0.053 eV per atom
&SYSTEM
  ibrav = 0, nat = 12, ntyp = 3
/
ATOMIC_SPECIES
Er 167.26 Er.upf
Tl 204.38 Tl.upf
C 12.01 C.upf
CELL_PARAMETERS angstrom
4.891 0.000 0.000
2.446 8.611 0.309
2.446 0.737 8.277
ATOMIC_POSITIONS crystal
Er 0.771 0.857 0.601
Er 0.229 0.143 0.399
Er 0.043 0.761 0.153
Er 0.957 0.239 0.847
Er 0.374 0.546 0.706
Er 0.500 0.000 0.000
Er 0.626 0.454 0.294
Tl 0.592 0.211 0.606
Tl 0.408 0.789 0.394
Tl 0.723 0.624 0.930
Tl 0.277 0.376 0.070
C 0.000 0.000 0.000

(6)
! Ba2Na4Li5 | Alexandria via LeMat-Bulk | PBE | optimized geometry; values from VASP
! - Space-group type: C2/m (12)
! - Total magnetic moment: 0.000 μB per formula unit
! - Crystal system: monoclinic
! - ΔE_f: 0.066 eV per atom
&SYSTEM
  ibrav = 0, nat = 11, ntyp = 3
/
ATOMIC_SPECIES
Ba 137.33 Ba.upf
Na 22.99 Na.upf
Li 6.94 Li.upf
CELL_PARAMETERS angstrom
-3.492 -5.854 2.840
-0.905 -6.699 -5.319
3.938 -4.514 5.138
ATOMIC_POSITIONS crystal
Ba 0.252 0.752 0.744
Ba 0.748 0.248 0.256
Na 0.343 0.047 0.268
Na 0.657 0.953 0.732
Na 0.715 0.604 0.966
Na 0.285 0.396 0.034
Li 0.235 0.236 0.694
Li 0.765 0.764 0.306
Li 0.000 0.500 0.500
Li 0.835 0.236 0.694
Li 0.165 0.764 0.306

(7)
! TaIn2Br | Alexandria via LeMat-Bulk | PBE | optimized geometry; values from VASP
! - Space-group type: Imm2 (44)
! - Total magnetic moment: 0.000 μB per formula unit
! - Energy relative to the elements, uncorrected: 0.189 eV per atom
! - Polymorph energy (0 for the lowest one): 67.6 meV/atom
! - Crystal system: orthorhombic
&SYSTEM
  ibrav = 0, nat = 4, ntyp = 3
/
ATOMIC_SPECIES
In 114.82 In.upf
Br 79.90 Br.upf
Ta 180.95 Ta.upf
CELL_PARAMETERS angstrom
-2.950 -5.583 -0.833
1.414 -3.763 -4.940
1.577 2.988 5.399
ATOMIC_POSITIONS crystal
In 0.001 0.001 0.000
In 0.283 0.783 0.500
Br 0.703 0.203 0.500
Ta 0.513 0.513 0.000

(8)
! HoTmH2 | Alexandria via LeMat-Bulk | PBE | optimized geometry; values from VASP
! - Space-group type: R-3m (166)
! - Total magnetic moment: 0.000 μB per formula unit
! - Polymorph energy (0 for the lowest one): 0.0 meV/atom
! - Crystal system: trigonal
&SYSTEM
  ibrav = 0, nat = 4, ntyp = 3
/
ATOMIC_SPECIES
H 1.01 H.upf
Tm 168.93 Tm.upf
Ho 164.93 Ho.upf
CELL_PARAMETERS angstrom
-0.883 -2.670 1.979
2.382 -2.284 0.969
1.554 1.387 5.553
ATOMIC_POSITIONS crystal
H 0.749 0.749 0.752
H 0.251 0.251 0.248
Tm 0.500 0.500 0.500
Ho 0.000 0.000 0.000

(9)
! Zr2SnPtPb | Alexandria via LeMat-Bulk | PBE | optimized geometry; values from VASP
! - Space-group type: P4/mmm (123)
! - Total magnetic moment: 0.000 μB per formula unit
! - Crystal system: tetragonal
! - ΔE_f: 0.053 eV per atom
&SYSTEM
  ibrav = 0, nat = 5, ntyp = 4
/
ATOMIC_SPECIES
Pb 207.20 Pb.upf
Zr 91.22 Zr.upf
Sn 118.71 Sn.upf
Pt 195.08 Pt.upf
CELL_PARAMETERS angstrom
-3.665 -0.418 3.704
-3.134 -1.968 -3.323
1.744 -4.783 1.187
ATOMIC_POSITIONS crystal
Pb 0.500 0.500 0.500
Zr 0.000 0.000 0.500
Zr 0.500 0.000 0.000
Sn 0.000 0.500 0.000
Pt 0.000 0.000 0.000

(10)
! Ho5Pb3 | Alexandria via LeMat-Bulk | PBE | optimized geometry; values from VASP
! - Space-group type: P6_3/mcm (193)
! - Total magnetic moment: 0.000 μB per formula unit
! - Crystal system: hexagonal
! - ΔE_f: -0.530 eV per atom
&SYSTEM
  ibrav = 0, nat = 16, ntyp = 2
/
ATOMIC_SPECIES
Ho 164.93 Ho.upf
Pb 207.20 Pb.upf
CELL_PARAMETERS angstrom
9.020 0.000 0.000
-4.510 7.812 0.000
0.000 0.000 6.594
ATOMIC_POSITIONS crystal
Ho 0.333 0.667 0.000
Ho 0.667 0.333 0.500
Ho 0.667 0.333 0.000
Ho 0.333 0.667 0.500
Ho 0.236 0.000 0.250
Ho 0.000 0.236 0.250
Ho 0.764 0.764 0.250
Ho 0.764 0.000 0.750
Ho 0.000 0.764 0.750
Ho 0.236 0.236 0.750
Pb 0.605 0.000 0.250
Pb 0.000 0.605 0.250
Pb 0.395 0.395 0.250
Pb 0.395 0.000 0.750
Pb 0.000 0.395 0.750
Pb 0.605 0.605 0.750

(11)
! Hf2Ti3O2 | Alexandria via LeMat-Bulk | PBE | optimized geometry; values from VASP
! - Space-group type: C2/m (12)
! - Total magnetic moment: 0.000 μB per formula unit
! - Energy relative to the elements, uncorrected: -1.339 eV per atom
! - Crystal system: monoclinic
&SYSTEM
  ibrav = 0, nat = 7, ntyp = 3
/
ATOMIC_SPECIES
Hf 178.49 Hf.upf
Ti 47.87 Ti.upf
O 16.00 O.upf
CELL_PARAMETERS angstrom
2.991 0.000 0.000
-1.495 5.410 -0.191
0.000 -2.696 6.876
ATOMIC_POSITIONS crystal
Hf 0.826 0.652 0.208
Hf 0.174 0.348 0.792
Ti 0.500 0.000 0.000
Ti 0.619 0.238 0.404
Ti 0.381 0.762 0.596
O 0.982 0.963 0.795
O 0.018 0.037 0.205

(12)
! AcDy2Er6 | Alexandria via LeMat-Bulk | PBE | optimized geometry; values from VASP
! - Space-group type: R3m (160)
! - Total magnetic moment: 0.000 μB per formula unit
! - Polymorph energy (0 for the lowest one): 313.7 meV/atom
! - Crystal system: trigonal
! - ΔE_f: 0.397 eV per atom
&SYSTEM
  ibrav = 0, nat = 9, ntyp = 3
/
ATOMIC_SPECIES
Ac 227.00 Ac.upf
Dy 162.50 Dy.upf
Er 167.26 Er.upf
CELL_PARAMETERS angstrom
-6.044 0.318 -3.147
-1.558 -4.528 -4.858
-5.829 -6.507 3.146
ATOMIC_POSITIONS crystal
Ac 0.334 0.334 0.997
Dy 0.754 0.754 0.739
Dy 0.574 0.574 0.277
Er 0.775 0.288 0.649
Er 0.288 0.775 0.649
Er 0.288 0.288 0.649
Er 0.049 0.554 0.347
Er 0.049 0.049 0.347
Er 0.554 0.049 0.347